Here is an optimized crystal structure of Mg2ScInN from Alexandria. Energies are from GGA-PBE.

a b c (Å): 5.7996 5.7996 5.6821
angles (deg): 90.00 90.00 90.00
Fractional positions:
Mg: 0.0000 0.5000 0.0000
Mg: 0.5000 0.0000 0.0000
Sc: 0.0000 0.0000 0.0000
In: 0.0000 0.0000 0.5000
N: 0.5000 0.5000 0.5000

## Properties
The value obtained for the calculated density is 1.9 g/cm³. The value obtained for the uncorrected formation energy is 1.93 eV per atom.